Entry 1:
# RbThH, relaxed, DFT PBE-GGA
data_RbThH
_chemical_formula_sum 'Rb4 Th4 H4'
_symmetry_space_group_name_H-M 'A m m 2'
_symmetry_Int_Tables_number 38
_symmetry_space_group_name_Hall 'A 2 -2'
_cell_length_a 14.790
_cell_length_b 3.627
_cell_length_c 6.277
_cell_angle_alpha 90.00
_cell_angle_beta 90.00
_cell_angle_gamma 90.00
loop_
_atom_site_label
_atom_site_fract_x
_atom_site_fract_y
_atom_site_fract_z
Rb1 0.127 0.000 0.000
Th1 0.388 0.000 0.336
H1 0.000 0.000 0.334
H2 0.500 0.000 0.003
# Raw total energy in eV per cell: -43.731



Entry 2:
# LaIr2Au2, relaxed, DFT PBE-GGA
data_LaIr2Au2
_chemical_formula_sum 'La2 Ir4 Au4'
_symmetry_space_group_name_H-M 'P 4/m b m'
_symmetry_Int_Tables_number 127
_symmetry_space_group_name_Hall '-P 4 2ab'
_cell_length_a 7.831
_cell_length_b 7.831
_cell_length_c 3.128
_cell_angle_alpha 90.00
_cell_angle_beta 90.00
_cell_angle_gamma 90.00
loop_
_atom_site_label
_atom_site_fract_x
_atom_site_fract_y
_atom_site_fract_z
La1 0.000 0.000 0.000
Ir1 0.169 0.331 0.500
Au1 0.130 0.630 0.000
# Relative energy among the computed polymorphs in meV per atom: 252
# E_form in meV/atom: 25



Entry 3:
# La4CoTe, relaxed, DFT PBE-GGA
data_La4CoTe
_chemical_formula_sum 'La16 Co4 Te4'
_symmetry_space_group_name_H-M 'C 1 2/c 1'
_symmetry_Int_Tables_number 15
_symmetry_space_group_name_Hall '-C 2yc'
_cell_length_a 9.392
_cell_length_b 14.604
_cell_length_c 6.769
_cell_angle_alpha 90.00
_cell_angle_beta 123.64
_cell_angle_gamma 90.00
loop_
_atom_site_label
_atom_site_fract_x
_atom_site_fract_y
_atom_site_fract_z
La1 0.114 0.193 0.089
La2 0.246 0.053 0.684
Co1 0.000 0.013 0.250
Te1 0.000 0.376 0.750
# Relative energy among the computed polymorphs in meV per atom: 0
# Formation energy without anion corrections in eV per atom: -0.5139